{
  "formula": "Cs2InFeO4",
  "functional": "PBE+U",
  "state": "relaxed",
  "lattice": [[-3.2065, 0.2704, -4.4989], [-2.7262, -6.2309, -1.8318], [-10.4574, 2.1189, 4.1802]],
  "species": ["Cs", "Cs", "Cs", "Cs", "In", "In", "Fe", "Fe", "O", "O", "O", "O", "O", "O", "O", "O"],
  "fractional_positions": [[0.1769, 0.0000, 0.6461], [0.8231, 0.0000, 0.3539], [0.5731, 0.5000, 0.8539], [0.9269, 0.5000, 0.1461], [0.7500, 0.5000, 0.5000], [0.0000, 0.0000, 0.0000], [0.2500, 0.5000, 0.5000], [0.5000, 0.0000, 0.0000], [0.3123, 0.8301, 0.0861], [0.2285, 0.1699, 0.9139], [0.8576, 0.8301, 0.9139], [0.6016, 0.1699, 0.0861], [0.4377, 0.6699, 0.4139], [0.5215, 0.3301, 0.5861], [0.8924, 0.6699, 0.5861], [0.1484, 0.3301, 0.4139]],
  "final_energy_ev_per_atom": -5.094
}